1.
Crystalline Tb2DyTmS6 at its relaxed geometry, computed with PBE.

Lattice parameters (Å, degrees): 6.905 6.905 7.339 61.93 61.93 59.99
Positions (direct):
Tb 0.518 0.518 0.446
Tb 0.017 0.017 0.948
Dy 0.816 0.816 0.553
Tm 0.317 0.317 0.049
S 0.609 0.214 0.253
S 0.214 0.925 0.253
S 0.925 0.609 0.253
S 0.419 0.712 0.754
S 0.712 0.115 0.754
S 0.115 0.419 0.754

Summary:
* raw formation energy: -2061 meV/atom

2.
Crystalline BaYO2 at its relaxed geometry, computed with PBE.

Lattice parameters (Å, degrees): 3.457 7.131 15.345 90.00 90.00 90.00
Positions (direct):
Ba 0.250 0.379 0.615
Ba 0.750 0.621 0.385
Ba 0.250 0.879 0.885
Ba 0.750 0.121 0.115
Y 0.250 0.371 0.922
Y 0.750 0.629 0.078
Y 0.250 0.871 0.578
Y 0.750 0.129 0.422
O 0.250 0.838 0.067
O 0.750 0.162 0.933
O 0.250 0.338 0.433
O 0.750 0.662 0.567
O 0.250 0.907 0.434
O 0.750 0.093 0.566
O 0.250 0.407 0.066
O 0.750 0.593 0.934

Summary:
* energy above the most stable polymorph in this dataset: 0.000 eV/atom
* raw formation energy: -2674 meV/atom

3.
Crystalline TbNd2UO8 at its relaxed geometry, computed with PBE.

Lattice parameters (Å, degrees): 3.919 5.517 7.660 90.00 90.00 90.03
Positions (direct):
Tb 0.000 0.000 0.500
Nd 0.500 0.500 0.750
Nd 0.500 0.500 0.250
U 0.000 0.000 0.000
O 0.000 0.767 0.225
O 0.500 0.777 0.000
O 0.000 0.233 0.225
O 0.000 0.233 0.775
O 0.500 0.223 0.000
O 0.000 0.767 0.775
O 0.500 0.757 0.500
O 0.500 0.243 0.500

Summary:
* raw formation energy: -3198 meV/atom

4.
Crystalline K2GePdO4 at its relaxed geometry, computed with PBE.

Lattice parameters (Å, degrees): 5.814 7.251 9.640 83.06 72.45 66.37
Positions (direct):
K 0.176 0.000 0.648
K 0.824 0.000 0.352
K 0.574 0.500 0.852
K 0.926 0.500 0.148
Ge 0.250 0.500 0.500
Ge 0.500 0.000 0.000
Pd 0.750 0.500 0.500
Pd 0.000 0.000 0.000
O 0.358 0.811 0.019
O 0.188 0.189 0.981
O 0.831 0.811 0.981
O 0.622 0.189 0.019
O 0.392 0.689 0.481
O 0.562 0.311 0.519
O 0.919 0.689 0.519
O 0.128 0.311 0.481

Summary:
* raw formation energy: -1216 meV/atom

Values for V, Å³/cell, ordered as above
254.4, 378.3, 165.6, 355.0
Values for total magnetization, μB/atom, ordered as above
0.000, 0.000, 0.002, 0.000